A plane-wave DFT calculation with PBE was carried out for RbHfF5 after structural relaxation.

- energy (eV per atom) = -6.49
- total moment (μB per atom) = 0.000

Lattice parameters (Å, degrees): 8.329 8.338 8.208 90.00 90.30 90.00
Space group C2/c (No. 15)
One atom of each set of equivalent atoms:
Rb1 0.000 0.009 0.250
Hf1 0.000 0.500 0.000
F1 0.000 0.465 0.250
F2 0.007 0.264 0.530
F3 0.238 0.493 0.000